Material: Cs2V3O8
Method: DFT, PBE+U
State: relaxed

a b c (Å): 9.084 9.084 6.190
angles (deg): 90.00 90.00 90.00
Site moments in Bohr magnetons follow the coordinates.
Element x y z (fractional)
O1 0.629 0.129 0.715  -0.01
O2 0.693 0.584 0.082  -0.01
O3 0.916 0.807 0.082  -0.01
V1 0.000 0.000 0.987  1.03
O4 0.871 0.629 0.715  -0.01
V2 0.867 0.633 0.984  0.05
V3 0.133 0.367 0.984  0.05
O5 0.000 0.000 0.722  -0.11
O6 0.193 0.916 0.082  -0.01
O7 0.416 0.693 0.082  -0.01
O8 0.584 0.307 0.082  -0.01
O9 0.307 0.416 0.082  -0.01
O10 0.129 0.371 0.715  -0.01
O11 0.500 0.000 0.091  0.00
Cs1 0.672 0.828 0.461  0.00
V4 0.500 0.500 0.987  1.03
O12 0.084 0.193 0.082  -0.01
Cs2 0.172 0.672 0.461  0.00
O13 0.371 0.871 0.715  -0.01
O14 0.807 0.084 0.082  -0.01
V5 0.367 0.867 0.984  0.05
O15 0.500 0.500 0.722  -0.11
V6 0.633 0.133 0.984  0.05
O16 0.000 0.500 0.091  0.00
Cs3 0.328 0.172 0.461  0.00
Cs4 0.828 0.328 0.461  0.00

## Properties
N(E_F), states/eV/atom: 0.000
DFT total energy, eV per atom: -6.928
V, Å³ per cell: 511